DFT (GGA-PBEsol) results for an optimized crystal structure of KZrRe2.

Results
Size of the total moment ... 0.000 μB per atom
Offset from the most stable computed form ... 766 meV/atom
Energy of formation from the pure elements ... 1405 meV/atom

Cell and atoms, written as POSCAR:
```
KZrRe2
1.0
-1.906 1.906 4.917
1.906 -1.906 4.917
1.906 1.906 -4.917
K Zr Re
1 1 2
direct
0.000 0.000 0.000 K
0.500 0.500 0.000 Zr
0.250 0.750 0.500 Re
0.750 0.250 0.500 Re
```